Entry 1:
First-principles (GGA-PBE) data for Al2VPd after structural relaxation, as listed in Alexandria.

Lattice parameters (Å, degrees): 4.3821 4.3821 3.0014 90.00 90.00 90.00
Last column: nearest neighbours and their distance in Å.
Space group P4/mmm (No. 123)
Inequivalent atoms, fractional coordinates:
Al 0.0000 0.5000 0.0000 (multiplicity 2)  4 Pd 2.66, 4 V 2.66
V 0.0000 0.0000 0.5000 (multiplicity 1)  8 Al 2.66
Pd 0.5000 0.5000 0.5000 (multiplicity 1)  8 Al 2.66

E_form ... -0.48 eV/atom
Magnetization ... 0.0 μB/f.u.
Calculated volume ... 14.4 Å³ per atom



Entry 2:
First-principles (GGA-PBE) data for AlV2Pd8 after structural relaxation, as listed in Alexandria.

Lattice parameters (Å, degrees): 13.9452 3.9486 6.1394 90.00 104.73 90.00
Last column: nearest neighbours and their distance in Å.
Space group C2/m (No. 12)
Inequivalent atoms, fractional coordinates:
Al 0.0000 0.0000 0.0000 (multiplicity 2)  12 Pd 2.67-2.89
V 0.2243 0.5000 0.6467 (multiplicity 4)  10 Pd 2.66-2.76, 2 V 2.88
Pd 0.0435 0.5000 0.7379 (multiplicity 4)  2 Al 2.71, 1 V 2.72, 9 Pd 2.77-2.86
Pd 0.0982 0.0000 0.4608 (multiplicity 4)  3 V 2.70-2.72, 8 Pd 2.72-2.90, 1 Al 2.81
Pd 0.1466 0.5000 0.2030 (multiplicity 4)  3 V 2.66-2.67, 7 Pd 2.72-2.85, 2 Al 2.89
Pd 0.1793 0.0000 0.9192 (multiplicity 4)  3 V 2.66-2.76, 1 Al 2.67, 8 Pd 2.72-2.79

E_form ... -0.35 eV/atom
Magnetization ... 2.4 μB/f.u.
Calculated volume ... 14.9 Å³ per atom



Entry 3:
First-principles (GGA-PBE) data for AlVPd5 after structural relaxation, as listed in Alexandria.

Lattice parameters (Å, degrees): 3.9680 3.9680 6.8775 90.00 90.00 90.00
Last column: nearest neighbours and their distance in Å.
Space group P4/mmm (No. 123)
Inequivalent atoms, fractional coordinates:
Al 0.0000 0.0000 0.0000 (multiplicity 1)  8 Pd 2.51
V 0.5000 0.5000 0.5000 (multiplicity 1)  12 Pd 2.74-2.81
Pd 0.0000 0.0000 0.5000 (multiplicity 1)  8 Pd 2.74, 4 V 2.81
Pd 0.0000 0.5000 0.2246 (multiplicity 4)  2 Al 2.51, 2 V 2.74, 6 Pd 2.74-2.81

E_form ... -0.43 eV/atom
Magnetization ... 0.6 μB/f.u.
Calculated volume ... 15.5 Å³ per atom



Entry 4:
First-principles (GGA-PBE) data for Zr2AlVPd after structural relaxation, as listed in Alexandria.

Lattice parameters (Å, degrees): 4.7273 4.7273 4.7858 90.00 90.00 90.00
Last column: nearest neighbours and their distance in Å.
Space group P4/mmm (No. 123)
Inequivalent atoms, fractional coordinates:
Zr 0.0000 0.5000 0.0000 (multiplicity 2)  2 V 2.36
Al 0.0000 0.0000 0.5000 (multiplicity 1)  2 V 2.39
V 0.0000 0.0000 0.0000 (multiplicity 1)  4 Zr 2.36, 2 Al 2.39
Pd 0.5000 0.5000 0.5000 (multiplicity 1)  4 Al 3.34, 8 Zr 3.36

E_form ... 0.44 eV/atom
Magnetization ... 0.0 μB/f.u.
Calculated volume ... 21.4 Å³ per atom



Entry 5:
First-principles (GGA-PBE) data for Al2Pd2W after structural relaxation, as listed in Alexandria.

Lattice parameters (Å, degrees): 3.7493 3.7493 11.2716 90.00 90.00 90.00
Last column: nearest neighbours and their distance in Å.
Space group I4/mmm (No. 139)
Inequivalent atoms, fractional coordinates:
Al 0.0000 0.0000 0.1070 (multiplicity 4)  1 Al 2.41, 4 Pd 2.47
Pd 0.0000 0.5000 0.2500 (multiplicity 4)  4 Al 2.47, 4 Pd 2.65
W 0.0000 0.0000 0.5000 (multiplicity 2)  8 Al 2.91

E_form ... 0.00 eV/atom
Magnetization ... 0.0 μB/f.u.
Calculated volume ... 15.8 Å³ per atom



Entry 6:
First-principles (GGA-PBE) data for AlPd2W2 after structural relaxation, as listed in Alexandria.

Lattice parameters (Å, degrees): 3.7597 3.7597 12.3961 90.00 90.00 90.00
Last column: nearest neighbours and their distance in Å.
Space group I4/mmm (No. 139)
Inequivalent atoms, fractional coordinates:
Al 0.0000 0.0000 0.0000 (multiplicity 2)  8 W 2.91
Pd 0.0000 0.5000 0.2500 (multiplicity 4)  4 Pd 2.66, 4 W 2.68
W 0.0000 0.0000 0.4046 (multiplicity 4)  1 W 2.37

E_form ... 0.53 eV/atom
Magnetization ... 0.0 μB/f.u.
Calculated volume ... 17.5 Å³ per atom



Entry 7:
First-principles (GGA-PBE) data for Al2Pd2W after structural relaxation, as listed in Alexandria.

Lattice parameters (Å, degrees): 7.3370 7.3370 2.7822 90.00 90.00 90.00
Last column: nearest neighbours and their distance in Å.
Space group P4/mbm (No. 127)
Inequivalent atoms, fractional coordinates:
Al 0.1457 0.3543 0.0000 (multiplicity 4)  6 Pd 2.51-2.59, 2 Al 2.78, 2 W 2.81
Pd 0.1525 0.6525 0.5000 (multiplicity 4)  6 Al 2.51-2.59, 2 Pd 2.78
W 0.0000 0.0000 0.0000 (multiplicity 2)  2 W 2.78, 4 Al 2.81, 8 Pd 3.11

E_form ... -0.34 eV/atom
Magnetization ... 0.0 μB/f.u.
Calculated volume ... 15.0 Å³ per atom



Entry 8:
First-principles (GGA-PBE) data for AlPd3W after structural relaxation, as listed in Alexandria.

Lattice parameters (Å, degrees): 4.8341 4.8341 4.8341 90.00 90.00 90.00
Last column: nearest neighbours and their distance in Å.
Space group Pm-3m (No. 221)
Inequivalent atoms, fractional coordinates:
Al 0.0000 0.0000 0.0000 (multiplicity 1)  12 Pd 3.42
Pd 0.0000 0.5000 0.5000 (multiplicity 3)  2 W 2.42
W 0.5000 0.5000 0.5000 (multiplicity 1)  6 Pd 2.42

E_form ... 1.15 eV/atom
Magnetization ... 0.0 μB/f.u.
Calculated volume ... 22.6 Å³ per atom



Q: Look up the E_form of the fourth one.
A: 0.44 eV/atom



Q: Which of these has the highest magnetization?
A: AlV2Pd8



Q: Look up the E_form of the eighth one.
A: 1.15 eV/atom